Entry 1:
The following is a DFT calculation (PBE) of an optimized crystal structure of Ta2CrSi.

a b c (Å): 4.4092 4.4092 4.4092
angles (deg): 60.00 60.00 60.00
Atoms (fractional coordinates):
Cr 0.5000 0.5000 0.5000
Si 0.2500 0.2500 0.2500
Ta 0.0000 0.0000 0.0000
Ta 0.7500 0.7500 0.7500

Values from the calculation:
- Total moment: 0.00 μB per cell
- Electronic total energy: -9.631 eV per atom
- Raw formation energy: 0.057 eV/atom

***

Entry 2:
The following is a DFT calculation (PBE) of an optimized crystal structure of Ta2CrSi.

a b c (Å): 2.8654 2.8654 7.7065
angles (deg): 90.00 90.00 90.00
Each line ends with the local moment (μB).
Atoms (fractional coordinates):
Cr 0.5000 0.5000 0.2500  2.25
Si 0.5000 0.5000 0.7500  0.01
Ta 0.0000 0.0000 0.9998  0.06
Ta 0.0000 0.0000 0.5002  0.06

Values from the calculation:
- Total moment: 2.66 μB per cell
- Electronic total energy: -9.576 eV per atom
- Raw formation energy: 0.112 eV/atom

***

Entry 3:
The following is a DFT calculation (PBE) of an optimized crystal structure of Ta2CrSi.

a b c (Å): 4.9813 4.9813 4.3857
angles (deg): 63.99 63.99 39.53
Atoms (fractional coordinates):
Cr 0.7500 0.7500 0.7500
Si 0.2500 0.2500 0.2500
Ta 0.0116 0.0116 0.9885
Ta 0.4884 0.4884 0.5115

Values from the calculation:
- Total moment: 0.03 μB per cell
- Electronic total energy: -9.817 eV per atom
- Raw formation energy: -0.129 eV/atom

***

Entry 4:
The following is a DFT calculation (PBE) of an optimized crystal structure of TaCrSi.

a b c (Å): 4.7923 4.7984 4.7984
angles (deg): 141.50 141.47 55.63
Atoms (fractional coordinates):
Cr 0.9907 0.9897 0.0010
Si 0.3470 0.3469 0.0000
Ta 0.6624 0.6633 0.9990

Values from the calculation:
- Total moment: 0.00 μB per cell
- Electronic total energy: -9.144 eV per atom
- Raw formation energy: -0.178 eV/atom

***

Q: What is the formula in the second record?
A: Ta2CrSi